Entry 1:
{"formula": "TiCo2Cu2", "functional": "PBE", "state": "optimized geometry", "formation_enthalpy_0k_ev_per_atom": 0.149, "dos_ef_per_ev_cell": 17.2, "spacegroup": "P4/mbm (127)", "de_polymorph_ev_per_fu": 0.16, "final_energy_ev_per_atom": -5.91, "lattice": [[6.867, 0.000, 0.000], [0.000, 6.867, 0.000], [0.000, 0.000, 2.648]], "species": ["Co", "Co", "Co", "Co", "Cu", "Cu", "Cu", "Cu", "Ti", "Ti"], "fractional_positions": [[0.170, 0.670, 0.500], [0.670, 0.830, 0.500], [0.830, 0.330, 0.500], [0.330, 0.170, 0.500], [0.373, 0.873, 0.000], [0.873, 0.627, 0.000], [0.627, 0.127, 0.000], [0.127, 0.373, 0.000], [0.000, 0.000, 0.000], [0.500, 0.500, 0.000]]}

=====

Entry 2:
{"formula": "TiCoCu3", "functional": "PBE", "state": "optimized geometry", "formation_enthalpy_0k_ev_per_atom": 0.925, "dos_ef_per_ev_cell": 10.3, "spacegroup": "Pm-3m (221)", "de_polymorph_ev_per_fu": 0.00, "final_energy_ev_per_atom": -4.53, "lattice": [[-2.969, 1.462, -2.766], [-2.811, -2.921, 1.473], [-1.374, 2.817, 2.963]], "species": ["Co", "Cu", "Cu", "Cu", "Ti"], "fractional_positions": [[0.000, 0.000, 0.000], [0.000, 0.500, 0.000], [0.000, 0.000, 0.500], [0.500, 0.000, 0.000], [0.500, 0.500, 0.500]]}

=====

Entry 3:
{"formula": "Ti2Co4Cu", "functional": "PBE", "state": "optimized geometry", "formation_enthalpy_0k_ev_per_atom": -0.035, "dos_ef_per_ev_cell": 9.9, "spacegroup": "I4/mmm (139)", "final_energy_ev_per_atom": -6.94, "lattice": [[3.234, 0.000, -0.811], [-0.203, 3.227, -0.811], [0.419, 0.447, 8.529]], "species": ["Ti", "Ti", "Co", "Co", "Co", "Co", "Cu"], "fractional_positions": [[0.602, 0.602, 0.204], [0.398, 0.398, 0.796], [0.145, 0.145, 0.289], [0.855, 0.855, 0.711], [0.750, 0.250, 0.500], [0.250, 0.750, 0.500], [0.000, 0.000, 0.000]]}

=====

Entry 4:
{"formula": "TiVCoCu", "functional": "PBE", "state": "optimized geometry", "formation_enthalpy_0k_ev_per_atom": -0.023, "dos_ef_per_ev_cell": 5.3, "spacegroup": "F-43m (216)", "final_energy_ev_per_atom": -7.08, "lattice": [[4.216, 0.000, 0.000], [2.108, 3.651, 0.000], [2.108, 1.217, 3.442]], "species": ["Ti", "Co", "Cu", "V"], "fractional_positions": [[0.500, 0.500, 0.500], [0.750, 0.750, 0.750], [0.250, 0.250, 0.250], [0.000, 0.000, 0.000]]}

=====

Entry 5:
{"formula": "TiZnCoCu", "functional": "PBE", "state": "optimized geometry", "formation_enthalpy_0k_ev_per_atom": -0.182, "dos_ef_per_ev_cell": 3.2, "spacegroup": "F-43m (216)", "final_energy_ev_per_atom": -5.27, "lattice": [[-1.626, 1.679, -3.471], [-1.333, -2.479, -3.097], [-4.096, -0.359, -0.777]], "species": ["Zn", "Co", "Cu", "Ti"], "fractional_positions": [[0.250, 0.250, 0.250], [0.500, 0.500, 0.500], [0.000, 0.000, 0.000], [0.750, 0.750, 0.750]]}

=====

Entry 6:
{"formula": "ZrTiCoCu", "functional": "PBE", "state": "optimized geometry", "formation_enthalpy_0k_ev_per_atom": -0.169, "dos_ef_per_ev_cell": 3.6, "spacegroup": "F-43m (216)", "final_energy_ev_per_atom": -7.08, "lattice": [[-2.654, -3.041, -1.829], [1.611, -3.984, -1.081], [-1.199, -3.579, 2.322]], "species": ["Co", "Cu", "Zr", "Ti"], "fractional_positions": [[0.000, 0.000, 0.000], [0.500, 0.500, 0.500], [0.750, 0.750, 0.750], [0.250, 0.250, 0.250]]}